Entry 1:
Density functional theory data (GGA-PBE) for a geometry-optimized CaTb8Tm6 structure.

Cell lengths 8.116, 8.116, 8.116 Å; angles 72.18, 72.18, 72.18 degrees
Atoms (fractional coordinates):
Ca1 0.000 0.000 0.000
Tb1 0.051 0.864 0.377
Tb2 0.136 0.623 0.949
Tb3 0.241 0.241 0.241
Tb4 0.377 0.051 0.864
Tb5 0.623 0.949 0.136
Tb6 0.759 0.759 0.759
Tb7 0.864 0.377 0.051
Tb8 0.949 0.136 0.623
Tm1 0.177 0.439 0.617
Tm2 0.383 0.823 0.561
Tm3 0.439 0.617 0.177
Tm4 0.561 0.383 0.823
Tm5 0.617 0.177 0.439
Tm6 0.823 0.561 0.383

VASP energy: -62.83 eV/cell
Total magnetic moment: 0.000 μB per formula unit
Space group: No. 148
Calculated volume: 471.0 Å³/cell


Entry 2:
Density functional theory data (GGA-PBE) for a geometry-optimized CaTb5Tm6 structure.

Cell lengths 7.922, 7.922, 6.139 Å; angles 97.38, 97.38, 84.36 degrees
Atoms (fractional coordinates):
Ca1 0.000 0.000 0.000
Tb1 0.171 0.829 0.500
Tb2 0.339 0.661 0.000
Tb3 0.500 0.500 0.500
Tb4 0.661 0.339 0.000
Tb5 0.829 0.171 0.500
Tm1 0.085 0.424 0.253
Tm2 0.252 0.252 0.741
Tm3 0.424 0.085 0.253
Tm4 0.576 0.915 0.747
Tm5 0.748 0.748 0.259
Tm6 0.915 0.576 0.747

VASP energy: -51.33 eV/cell
Total magnetic moment: 0.000 μB per formula unit
Space group: No. 12
Calculated volume: 377.6 Å³/cell


Entry 3:
Density functional theory data (GGA-PBE) for a geometry-optimized CaTb6Tm12 structure.

Cell lengths 9.191, 9.191, 9.191 Å; angles 106.56, 106.56, 106.56 degrees
Atoms (fractional coordinates):
Ca1 0.000 0.000 0.000
Tb1 0.295 0.689 0.689
Tb2 0.311 0.311 0.705
Tb3 0.311 0.705 0.311
Tb4 0.689 0.295 0.689
Tb5 0.689 0.689 0.295
Tb6 0.705 0.311 0.311
Tm1 0.103 0.341 0.341
Tm2 0.113 0.500 0.887
Tm3 0.113 0.887 0.500
Tm4 0.341 0.103 0.341
Tm5 0.341 0.341 0.103
Tm6 0.500 0.113 0.887
Tm7 0.500 0.887 0.113
Tm8 0.659 0.659 0.897
Tm9 0.659 0.897 0.659
Tm10 0.887 0.113 0.500
Tm11 0.887 0.500 0.113
Tm12 0.897 0.659 0.659

VASP energy: -74.98 eV/cell
Total magnetic moment: 0.002 μB per formula unit
Space group: No. 166
Calculated volume: 654.1 Å³/cell


Entry 4:
Density functional theory data (GGA-PBE) for a geometry-optimized CaTb14Tm structure.

Cell lengths 11.355, 7.286, 7.286 Å; angles 60.03, 90.00, 90.00 degrees
Atoms (fractional coordinates):
Ca1 0.000 0.000 0.000
Tb1 0.000 0.500 0.999
Tb2 0.000 0.999 0.500
Tb3 0.247 0.667 0.667
Tb4 0.253 0.169 0.169
Tb5 0.253 0.169 0.662
Tb6 0.253 0.662 0.169
Tb7 0.500 0.000 0.000
Tb8 0.500 0.000 0.500
Tb9 0.500 0.500 0.000
Tb10 0.500 0.500 0.500
Tb11 0.747 0.169 0.169
Tb12 0.747 0.169 0.662
Tb13 0.747 0.662 0.169
Tb14 0.753 0.667 0.667
Tm1 0.000 0.500 0.500

VASP energy: -70.80 eV/cell
Total magnetic moment: 0.000 μB per formula unit
Space group: No. 38
Calculated volume: 522.2 Å³/cell